Record 1
Material: Pm2MnAl12Fe3
Method: DFT, PBE
State: optimized geometry

mass density = 3.18 g cm⁻³
energy of formation from the pure elements = 366 kJ/mol of formula units
uncorrected energy = -4.7322 eV per atom
DOS(E_F) = 11.22 states/eV/f.u.

Geometry as CIF:
```
data_Pm2MnAl12Fe3
_chemical_formula_sum 'Pm6 Mn3 Al36 Fe9'
_cell_length_a 9.3525
_cell_length_b 9.3525
_cell_length_c 17.2824
_cell_angle_alpha 90.00
_cell_angle_beta 90.00
_cell_angle_gamma 120.00
_space_group_name_H-M_alt 'R -3 m'
_space_group_IT_number 166
_space_group_name_Hall '-R 3 2"'
loop_
_atom_site_label
_atom_site_type_symbol
_atom_site_fract_x
_atom_site_fract_y
_atom_site_fract_z
Pm1 Pm 0.0000 0.0000 0.2331
Mn1 Mn 0.0000 0.0000 0.5000
Al1 Al 0.0303 0.5151 0.1346
Al2 Al 0.0959 0.5480 0.2954
Fe1 Fe 0.0000 0.5000 0.0000
```



Record 2
Material: MnAlFeRe
Method: DFT, PBE
State: optimized geometry

mass density = 10.85 g cm⁻³
energy of formation from the pure elements = -53 kJ/mol of formula units
uncorrected energy = -8.5934 eV per atom
DOS(E_F) = 3.45 states/eV/f.u.

Geometry as CIF:
```
data_MnAlFeRe
_chemical_formula_sum 'Mn4 Al4 Fe4 Re4'
_cell_length_a 5.8314
_cell_length_b 5.8314
_cell_length_c 5.8314
_cell_angle_alpha 90.00
_cell_angle_beta 90.00
_cell_angle_gamma 90.00
_space_group_name_H-M_alt 'F -4 3 m'
_space_group_IT_number 216
_space_group_name_Hall 'F -4 2 3'
loop_
_atom_site_label
_atom_site_type_symbol
_atom_site_fract_x
_atom_site_fract_y
_atom_site_fract_z
Mn1 Mn 0.0000 0.0000 0.0000
Al1 Al 0.2500 0.2500 0.2500
Fe1 Fe 0.0000 0.0000 0.5000
Re1 Re 0.2500 0.2500 0.7500
```



Record 3
Material: Sc2Mn2Al5Fe
Method: DFT, PBE
State: optimized geometry

mass density = 4.12 g cm⁻³
energy of formation from the pure elements = -198 kJ/mol of formula units
uncorrected energy = -6.0232 eV per atom
DOS(E_F) = 9.25 states/eV/f.u.

Geometry as CIF:
```
data_Sc2Mn2Al5Fe
_chemical_formula_sum 'Sc4 Mn4 Al10 Fe2'
_cell_length_a 10.5176
_cell_length_b 10.5176
_cell_length_c 2.8446
_cell_angle_alpha 90.00
_cell_angle_beta 90.00
_cell_angle_gamma 90.00
_space_group_name_H-M_alt 'P 4/m b m'
_space_group_IT_number 127
_space_group_name_Hall '-P 4 2ab'
loop_
_atom_site_label
_atom_site_type_symbol
_atom_site_fract_x
_atom_site_fract_y
_atom_site_fract_z
Sc1 Sc 0.1818 0.3182 0.0000
Mn1 Mn 0.1373 0.6373 0.0000
Al1 Al 0.0000 0.5000 0.5000
Al2 Al 0.0521 0.8166 0.5000
Fe1 Fe 0.0000 0.0000 0.0000
```



Record 4
Material: Sm2MnAl12Fe3
Method: DFT, PBE
State: optimized geometry

mass density = 3.69 g cm⁻³
energy of formation from the pure elements = 479 kJ/mol of formula units
uncorrected energy = -4.6632 eV per atom
DOS(E_F) = 12.12 states/eV/f.u.

Geometry as CIF:
```
data_Sm2MnAl12Fe3
_chemical_formula_sum 'Sm6 Mn3 Al36 Fe9'
_cell_length_a 8.7831
_cell_length_b 8.7831
_cell_length_c 17.1280
_cell_angle_alpha 90.00
_cell_angle_beta 90.00
_cell_angle_gamma 120.00
_space_group_name_H-M_alt 'R -3 m'
_space_group_IT_number 166
_space_group_name_Hall '-R 3 2"'
loop_
_atom_site_label
_atom_site_type_symbol
_atom_site_fract_x
_atom_site_fract_y
_atom_site_fract_z
Sm1 Sm 0.0000 0.0000 0.0993
Mn1 Mn 0.0000 0.0000 0.5000
Al1 Al 0.0013 0.5006 0.8663
Al2 Al 0.0793 0.5397 0.3045
Fe1 Fe 0.0000 0.5000 0.0000
```



Record 5
Material: TaMn2AlFe
Method: DFT, PBE
State: optimized geometry

mass density = 6.50 g cm⁻³
energy of formation from the pure elements = 648 kJ/mol of formula units
uncorrected energy = -7.1356 eV per atom
DOS(E_F) = 3.26 states/eV/f.u.

Geometry as CIF:
```
data_TaMn2AlFe
_chemical_formula_sum 'Ta1 Mn2 Al1 Fe1'
_cell_length_a 4.6052
_cell_length_b 4.6052
_cell_length_c 4.4998
_cell_angle_alpha 90.00
_cell_angle_beta 90.00
_cell_angle_gamma 90.00
_space_group_name_H-M_alt 'P 4/m m m'
_space_group_IT_number 123
_space_group_name_Hall '-P 4 2'
loop_
_atom_site_label
_atom_site_type_symbol
_atom_site_fract_x
_atom_site_fract_y
_atom_site_fract_z
Ta1 Ta 0.0000 0.0000 0.0000
Mn1 Mn 0.0000 0.5000 0.0000
Al1 Al 0.5000 0.5000 0.5000
Fe1 Fe 0.0000 0.0000 0.5000
```



Record 6
Material: Tb2MnAl12Fe3
Method: DFT, PBE
State: optimized geometry

mass density = 3.83 g cm⁻³
energy of formation from the pure elements = 482 kJ/mol of formula units
uncorrected energy = -4.6518 eV per atom
DOS(E_F) = 11.80 states/eV/f.u.

Geometry as CIF:
```
data_Tb2MnAl12Fe3
_chemical_formula_sum 'Tb6 Mn3 Al36 Fe9'
_cell_length_a 8.6958
_cell_length_b 8.6958
_cell_length_c 17.1754
_cell_angle_alpha 90.00
_cell_angle_beta 90.00
_cell_angle_gamma 120.00
_space_group_name_H-M_alt 'R -3 m'
_space_group_IT_number 166
_space_group_name_Hall '-R 3 2"'
loop_
_atom_site_label
_atom_site_type_symbol
_atom_site_fract_x
_atom_site_fract_y
_atom_site_fract_z
Tb1 Tb 0.0000 0.0000 0.0967
Mn1 Mn 0.0000 0.0000 0.5000
Al1 Al 0.0076 0.5038 0.8662
Al2 Al 0.0729 0.5364 0.3018
Fe1 Fe 0.0000 0.5000 0.0000
```



Record 7
Material: MnAlFeTc
Method: DFT, PBE
State: optimized geometry

mass density = 7.71 g cm⁻³
energy of formation from the pure elements = -65 kJ/mol of formula units
uncorrected energy = -8.1046 eV per atom
DOS(E_F) = 3.08 states/eV/f.u.

Geometry as CIF:
```
data_MnAlFeTc
_chemical_formula_sum 'Mn4 Al4 Fe4 Tc4'
_cell_length_a 5.8775
_cell_length_b 5.8775
_cell_length_c 5.8775
_cell_angle_alpha 90.00
_cell_angle_beta 90.00
_cell_angle_gamma 90.00
_space_group_name_H-M_alt 'F -4 3 m'
_space_group_IT_number 216
_space_group_name_Hall 'F -4 2 3'
loop_
_atom_site_label
_atom_site_type_symbol
_atom_site_fract_x
_atom_site_fract_y
_atom_site_fract_z
Mn1 Mn 0.0000 0.0000 0.0000
Al1 Al 0.0000 0.0000 0.5000
Fe1 Fe 0.2500 0.2500 0.7500
Tc1 Tc 0.2500 0.2500 0.2500
```



Record 8
Material: Mn2AlFeTc
Method: DFT, PBE
State: optimized geometry

mass density = 6.94 g cm⁻³
energy of formation from the pure elements = 712 kJ/mol of formula units
uncorrected energy = -6.7071 eV per atom
DOS(E_F) = 5.84 states/eV/f.u.

Geometry as CIF:
```
data_Mn2AlFeTc
_chemical_formula_sum 'Mn2 Al1 Fe1 Tc1'
_cell_length_a 4.1406
_cell_length_b 4.1406
_cell_length_c 4.0594
_cell_angle_alpha 90.00
_cell_angle_beta 90.00
_cell_angle_gamma 90.00
_space_group_name_H-M_alt 'P 4/m m m'
_space_group_IT_number 123
_space_group_name_Hall '-P 4 2'
loop_
_atom_site_label
_atom_site_type_symbol
_atom_site_fract_x
_atom_site_fract_y
_atom_site_fract_z
Mn1 Mn 0.0000 0.5000 0.0000
Al1 Al 0.0000 0.0000 0.0000
Fe1 Fe 0.0000 0.0000 0.5000
Tc1 Tc 0.5000 0.5000 0.5000
```



Record 9
Material: Ti5MnAl2Fe2
Method: DFT, PBE
State: optimized geometry

mass density = 5.10 g cm⁻³
energy of formation from the pure elements = -189 kJ/mol of formula units
uncorrected energy = -7.5018 eV per atom
DOS(E_F) = 9.30 states/eV/f.u.

Geometry as CIF:
```
data_Ti5MnAl2Fe2
_chemical_formula_sum 'Ti10 Mn2 Al4 Fe4'
_cell_length_a 10.0231
_cell_length_b 10.0231
_cell_length_c 2.9825
_cell_angle_alpha 90.00
_cell_angle_beta 90.00
_cell_angle_gamma 90.00
_space_group_name_H-M_alt 'P 4/m b m'
_space_group_IT_number 127
_space_group_name_Hall '-P 4 2ab'
loop_
_atom_site_label
_atom_site_type_symbol
_atom_site_fract_x
_atom_site_fract_y
_atom_site_fract_z
Ti1 Ti 0.0000 0.5000 0.0000
Ti2 Ti 0.0667 0.1933 0.0000
Mn1 Mn 0.0000 0.0000 0.5000
Al1 Al 0.1749 0.6749 0.5000
Fe1 Fe 0.1319 0.3681 0.5000
```



Record 10
Material: TiMnAl2Fe
Method: DFT, PBE
State: optimized geometry

mass density = 4.08 g cm⁻³
energy of formation from the pure elements = 123 kJ/mol of formula units
uncorrected energy = -6.3484 eV per atom
DOS(E_F) = 3.69 states/eV/f.u.

Geometry as CIF:
```
data_TiMnAl2Fe
_chemical_formula_sum 'Ti1 Mn1 Al2 Fe1'
_cell_length_a 4.4710
_cell_length_b 4.4710
_cell_length_c 4.3326
_cell_angle_alpha 90.00
_cell_angle_beta 90.00
_cell_angle_gamma 90.00
_space_group_name_H-M_alt 'P 4/m m m'
_space_group_IT_number 123
_space_group_name_Hall '-P 4 2'
loop_
_atom_site_label
_atom_site_type_symbol
_atom_site_fract_x
_atom_site_fract_y
_atom_site_fract_z
Ti1 Ti 0.0000 0.0000 0.0000
Mn1 Mn 0.5000 0.5000 0.0000
Al1 Al 0.0000 0.5000 0.5000
Fe1 Fe 0.0000 0.0000 0.5000
```



Record 11
Material: Ti2MnAl5Fe2
Method: DFT, PBE
State: optimized geometry

mass density = 4.56 g cm⁻³
energy of formation from the pure elements = -295 kJ/mol of formula units
uncorrected energy = -6.3654 eV per atom
DOS(E_F) = 8.28 states/eV/f.u.

Geometry as CIF:
```
data_Ti2MnAl5Fe2
_chemical_formula_sum 'Ti4 Mn2 Al10 Fe4'
_cell_length_a 8.5610
_cell_length_b 8.5610
_cell_length_c 3.9436
_cell_angle_alpha 90.00
_cell_angle_beta 90.00
_cell_angle_gamma 90.00
_space_group_name_H-M_alt 'P 4/m b m'
_space_group_IT_number 127
_space_group_name_Hall '-P 4 2ab'
loop_
_atom_site_label
_atom_site_type_symbol
_atom_site_fract_x
_atom_site_fract_y
_atom_site_fract_z
Ti1 Ti 0.1709 0.3291 0.0000
Mn1 Mn 0.0000 0.0000 0.0000
Al1 Al 0.0000 0.5000 0.5000
Al2 Al 0.0735 0.7938 0.5000
Fe1 Fe 0.1210 0.6210 0.0000
```



Record 12
Material: Tm2MnAl12Fe3
Method: DFT, PBE
State: optimized geometry

mass density = 3.98 g cm⁻³
energy of formation from the pure elements = 483 kJ/mol of formula units
uncorrected energy = -4.6335 eV per atom
DOS(E_F) = 11.05 states/eV/f.u.

Geometry as CIF:
```
data_Tm2MnAl12Fe3
_chemical_formula_sum 'Tm6 Mn3 Al36 Fe9'
_cell_length_a 8.6124
_cell_length_b 8.6124
_cell_length_c 17.2186
_cell_angle_alpha 90.00
_cell_angle_beta 90.00
_cell_angle_gamma 120.00
_space_group_name_H-M_alt 'R -3 m'
_space_group_IT_number 166
_space_group_name_Hall '-R 3 2"'
loop_
_atom_site_label
_atom_site_type_symbol
_atom_site_fract_x
_atom_site_fract_y
_atom_site_fract_z
Tm1 Tm 0.0000 0.0000 0.0944
Mn1 Mn 0.0000 0.0000 0.5000
Al1 Al 0.0140 0.5070 0.8661
Al2 Al 0.0674 0.5337 0.2993
Fe1 Fe 0.0000 0.5000 0.0000
```



DOS(E_F) of number 11 (Ti2MnAl5Fe2)?
8.28 states/eV/f.u.